1.
GeTeIr2 | PBE | relaxed

Properties
VASP energy ... -6.171 eV/atom
Density of states at the Fermi level ... 3.976 states/eV/cell
Energy above the lowest structure with this stoichiometry ... 0 meV per atom
Space group ... No. 122
ΔE_f (raw) ... 0.200 eV per atom

Lattice parameters (Å, degrees): 5.526 5.526 7.245 67.58 67.58 90.00
Atoms (fractional coordinates):
Ir: 0.150 0.625 0.250
Ir: 0.875 0.850 0.750
Te: 0.000 0.000 0.000
Te: 0.750 0.250 0.500
Ge: 0.250 0.750 0.500
Ir: 0.600 0.125 0.250
Ir: 0.375 0.400 0.750
Ge: 0.500 0.500 0.000


2.
TmInNiRh | PBE | relaxed

Properties
VASP energy ... -5.655 eV/atom
Density of states at the Fermi level ... 2.585 states/eV/cell
Space group ... No. 216

Lattice parameters (Å, degrees): 4.633 4.633 4.633 60.00 60.00 60.00
Atoms (fractional coordinates):
Tm: 0.000 0.000 0.000
Ni: 0.250 0.250 0.250
Rh: 0.750 0.750 0.750
In: 0.500 0.500 0.500